MnSnH2, single point on PBEsol structure, DFT SCAN; energy = -14.619 eV/atom; space-group type = Fm-3m; N(E_F) = 0.303 states/eV per atom
1.0
0.0000 2.8206 2.8206
2.8206 0.0000 2.8206
2.8206 2.8206 0.0000
Mn Sn H
1 1 2
direct
0.0000 0.0000 0.0000
0.5000 0.5000 0.5000
0.2500 0.2500 0.2500
0.7500 0.7500 0.7500